First-principles (PBE) data for crystalline Cd2TcAu at its relaxed geometry, as listed in Alexandria via LeMat-Bulk.

```
Cd2TcAu
1.0
-3.806 3.806 2.835
3.806 -3.806 2.835
3.806 3.806 -2.835
Cd Tc Au
4 2 2
direct
0.123 0.625 0.998 Cd
0.375 0.373 0.498 Cd
0.627 0.125 0.002 Cd
0.875 0.877 0.502 Cd
0.250 0.750 0.500 Tc
0.500 0.500 0.000 Tc
0.000 0.000 0.000 Au
0.750 0.250 0.500 Au
```

Computed properties:
Volume = 20.5 Å³ per atom
Formation energy = 0.595 eV per atom
Electronic total energy = -0.2406 Ry/atom
Total magnetic moment = 4.12 μB per cell
E above lowest polymorph = 1.47 eV/f.u.